# UBi4WO12 (PBE+U, relaxed)
# spin magnetization	0.00	μB/atom
# uncorrected energy	-6.97	eV/atom
# space group	P4/mmm, No. 123
data_UBi4WO12
_chemical_formula_sum 'U1 Bi4 W1 O12'
_cell_length_a 3.982
_cell_length_b 3.982
_cell_length_c 16.671
_cell_angle_alpha 90.00
_cell_angle_beta 90.00
_cell_angle_gamma 90.00
_space_group_name_H-M_alt 'P 1'
_space_group_IT_number 1
_space_group_name_Hall 'P 1'
loop_
_atom_site_label
_atom_site_type_symbol
_atom_site_fract_x
_atom_site_fract_y
_atom_site_fract_z
_atom_site_occupancy
O1 O 0.500 0.000 0.500 1
O2 O 0.000 0.500 0.244 1
O3 O 0.000 0.000 0.115 1
O4 O 0.000 0.000 0.885 1
O5 O 0.000 0.500 0.756 1
O6 O 0.500 0.500 0.624 1
O7 O 0.500 0.000 0.000 1
O8 O 0.500 0.500 0.376 1
O9 O 0.500 0.000 0.244 1
O10 O 0.000 0.500 0.000 1
O11 O 0.000 0.500 0.500 1
O12 O 0.500 0.000 0.756 1
Bi1 Bi 0.500 0.500 0.829 1
Bi2 Bi 0.000 0.000 0.317 1
Bi3 Bi 0.500 0.500 0.171 1
Bi4 Bi 0.000 0.000 0.683 1
W1 W 0.000 0.000 0.000 1
U1 U 0.500 0.500 0.500 1